Record 1
## HoTcC (GGA-PBE)

Data for a relaxed HoTcC crystal.

Lattice parameters (Å, degrees): 4.462 3.520 3.520 120.00 90.00 90.00
Positions (direct):
Ho 0.688 0.667 0.333
C 0.143 0.000 0.000
Tc 0.169 0.333 0.667

Values from the calculation:
Calculated total energy ... -24.226 eV for the cell shown
N(E_F) ... 1.626 states/eV/cell
Energy relative to the lowest polymorph listed for this composition ... 0.184 eV/atom
Formation energy from the elements ... -19 meV/atom

***

Record 2
## HoTcC2 (GGA-PBE)

Data for a relaxed HoTcC2 crystal.

Lattice parameters (Å, degrees): 3.592 3.929 3.929 103.90 90.00 90.00
Positions (direct):
C 0.500 0.855 0.441
C 0.500 0.559 0.145
Tc 0.500 0.385 0.615
Ho 0.000 0.981 0.019

Values from the calculation:
Calculated total energy ... -33.853 eV for the cell shown
N(E_F) ... 2.059 states/eV/cell
Energy relative to the lowest polymorph listed for this composition ... 0.000 eV/atom
Formation energy from the elements ... -115 meV/atom

***

Record 3
## HoTcC2 (GGA-PBE)

Data for a relaxed HoTcC2 crystal.

Lattice parameters (Å, degrees): 3.219 3.219 5.749 73.74 73.74 60.00
Positions (direct):
C 0.262 0.262 0.214
C 0.738 0.738 0.786
Tc 0.000 0.000 0.000
Ho 0.500 0.500 0.500

Values from the calculation:
Calculated total energy ... -33.214 eV for the cell shown
N(E_F) ... 1.226 states/eV/cell
Energy relative to the lowest polymorph listed for this composition ... 0.160 eV/atom
Formation energy from the elements ... 44 meV/atom

***

Record 4
## Ho3TcC3 (GGA-PBE)

Data for a relaxed Ho3TcC3 crystal.

Lattice parameters (Å, degrees): 5.104 6.768 6.769 100.34 90.00 90.00
Positions (direct):
C 0.250 0.170 0.414
C 0.250 0.123 0.877
C 0.250 0.586 0.830
C 0.750 0.877 0.123
C 0.750 0.414 0.170
C 0.750 0.830 0.586
Tc 0.750 0.690 0.310
Tc 0.250 0.310 0.690
Ho 0.250 0.833 0.595
Ho 0.750 0.167 0.405
Ho 0.750 0.595 0.833
Ho 0.250 0.892 0.108
Ho 0.250 0.405 0.167
Ho 0.750 0.108 0.892

Values from the calculation:
Calculated total energy ... -108.684 eV for the cell shown
N(E_F) ... 6.857 states/eV/cell
Energy relative to the lowest polymorph listed for this composition ... 0.000 eV/atom
Formation energy from the elements ... -367 meV/atom

***

Record 5
## HoTcC (GGA-PBE)

Data for a relaxed HoTcC crystal.

Lattice parameters (Å, degrees): 3.488 3.489 4.955 110.73 90.00 119.99
Positions (direct):
C 0.413 0.751 0.365
Tc 0.720 0.366 0.288
Ho 0.215 0.356 0.775

Values from the calculation:
Calculated total energy ... -24.779 eV for the cell shown
N(E_F) ... 1.867 states/eV/cell
Energy relative to the lowest polymorph listed for this composition ... 0.000 eV/atom
Formation energy from the elements ... -204 meV/atom

***

Record 6
## Ho2ThTcC4 (GGA-PBE)

Data for a relaxed Ho2ThTcC4 crystal.

Lattice parameters (Å, degrees): 3.506 6.298 12.087 90.00 90.00 106.16
Positions (direct):
Th 0.909 0.818 0.250
Th 0.091 0.182 0.750
C 0.268 0.537 0.369
C 0.578 0.155 0.250
C 0.732 0.463 0.869
C 0.268 0.537 0.131
C 0.000 0.000 0.500
C 0.422 0.845 0.750
C 0.732 0.463 0.631
C 0.000 0.000 0.000
Ho 0.629 0.258 0.459
Ho 0.371 0.742 0.959
Ho 0.629 0.258 0.041
Ho 0.371 0.742 0.541
Tc 0.830 0.660 0.750
Tc 0.170 0.340 0.250

Values from the calculation:
Calculated total energy ... -129.532 eV for the cell shown
N(E_F) ... 7.572 states/eV/cell
Formation energy from the elements ... -116 meV/atom

***

Q: What is the formation energy from the elements in the second record?
A: -115 meV/atom

***

Q: Among the records above, which one has the lowest N(E_F)?
A: number 3

***

Q: What is the formation energy from the elements in the second record?
A: -115 meV/atom

***

Q: calculated total energy of number 3 (HoTcC2)?
A: -33.214 eV for the cell shown